[1]
# CdTeAu2, relaxed, DFT PBEsol
# Volume = 82 Å³/f.u.
# Crystal system = tetragonal
# ΔE_f (raw) = 3 kJ/mol of atoms
# ρ = 12.87 g cm⁻³
# Size of the total moment = 0.0 μB per cell
data_CdTeAu2
_cell_length_a 3.781
_cell_length_b 3.781
_cell_length_c 5.720
_cell_angle_alpha 90.00
_cell_angle_beta 90.00
_cell_angle_gamma 90.00
_symmetry_space_group_name_H-M 'P 4/m m m'
_symmetry_Int_Tables_number 123
_symmetry_space_group_name_Hall '-P 4 2'
loop_
_atom_site_label
_atom_site_fract_x
_atom_site_fract_y
_atom_site_fract_z
Cd1 0.000 0.000 0.000
Te1 0.000 0.000 0.500
Au1 0.500 0.500 0.242


[2]
# Fe2CoIr, relaxed, DFT PBEsol
# Volume = 48 Å³/f.u.
# Crystal system = orthorhombic
# Formation energy from the elements = 0.07 eV per atom
# ρ = 12.60 g cm⁻³
# Size of the total moment = 15.3 μB per cell
data_Fe2CoIr
_cell_length_a 2.811
_cell_length_b 4.168
_cell_length_c 8.165
_cell_angle_alpha 90.00
_cell_angle_beta 90.00
_cell_angle_gamma 90.00
_symmetry_space_group_name_H-M 'I m m m'
_symmetry_Int_Tables_number 71
_symmetry_space_group_name_Hall '-I 2 2'
loop_
_atom_site_label
_atom_site_fract_x
_atom_site_fract_y
_atom_site_fract_z
Fe1 0.000 0.000 0.241
Co1 0.000 0.500 0.500
Ir1 0.000 0.500 0.000